VASP calculation (PBE-GGA) on a relaxed structure of PbS2F.

Structure (POSCAR):
```
PbS2F
1.0
2.0033 1.1566 5.3657
-2.0033 1.1566 5.3657
0.0000 -2.3132 5.3657
Pb S F
1 2 1
Direct
0.0000 0.0000 0.0000
0.2455 0.2455 0.2455
0.7545 0.7545 0.7545
0.5000 0.5000 0.5000
```

Output
Space-group type: R-3m
Uncorrected energy, eV per atom: -3.547
Energy relative to the lowest polymorph listed for this composition, meV/atom: 627.3
Formation energy without anion corrections, eV per atom: -0.088

VASP calculation (PBE-GGA) on a relaxed structure of TbDy8Y4.

Structure (POSCAR):
```
TbDy8Y4
1.0
3.6548 2.1101 9.0486
-3.6548 2.1101 9.0486
0.0000 -4.2202 9.0486
Tb Dy Y
1 8 4
Direct
0.0000 0.0000 0.0000
0.2502 0.2502 0.6942
0.2502 0.6942 0.2502
0.2833 0.2833 0.2833
0.3058 0.7498 0.7498
0.6942 0.2502 0.2502
0.7167 0.7167 0.7167
0.7498 0.3058 0.7498
0.7498 0.7498 0.3058
0.0000 0.0000 0.5000
0.0000 0.5000 0.0000
0.5000 0.0000 0.0000
0.5000 0.5000 0.5000
```

Output
Space-group type: R-3m
Uncorrected energy, eV per atom: -4.968
Formation energy, kJ per mole of atoms: 20.17

Repeat the first record exactly.
VASP calculation (PBE-GGA) on a relaxed structure of PbS2F.

Structure (POSCAR):
```
PbS2F
1.0
2.0033 1.1566 5.3657
-2.0033 1.1566 5.3657
0.0000 -2.3132 5.3657
Pb S F
1 2 1
Direct
0.0000 0.0000 0.0000
0.2455 0.2455 0.2455
0.7545 0.7545 0.7545
0.5000 0.5000 0.5000
```

Output
Space-group type: R-3m
Uncorrected energy, eV per atom: -3.547
Energy relative to the lowest polymorph listed for this composition, meV/atom: 627.3
Formation energy without anion corrections, eV per atom: -0.088

Q: Among the records above, which one has the lowest uncorrected energy?
A: TbDy8Y4

Q: Among the records above, which one has the highest uncorrected energy?
A: PbS2F

Copy entry 2 word for word.
VASP calculation (PBE-GGA) on a relaxed structure of TbDy8Y4.

Structure (POSCAR):
```
TbDy8Y4
1.0
3.6548 2.1101 9.0486
-3.6548 2.1101 9.0486
0.0000 -4.2202 9.0486
Tb Dy Y
1 8 4
Direct
0.0000 0.0000 0.0000
0.2502 0.2502 0.6942
0.2502 0.6942 0.2502
0.2833 0.2833 0.2833
0.3058 0.7498 0.7498
0.6942 0.2502 0.2502
0.7167 0.7167 0.7167
0.7498 0.3058 0.7498
0.7498 0.7498 0.3058
0.0000 0.0000 0.5000
0.0000 0.5000 0.0000
0.5000 0.0000 0.0000
0.5000 0.5000 0.5000
```

Output
Space-group type: R-3m
Uncorrected energy, eV per atom: -4.968
Formation energy, kJ per mole of atoms: 20.17